No. 1
# Be2TeIr (PBE, optimized geometry)
data_Be2TeIr
_chemical_formula_sum 'Be2 Te1 Ir1'
_cell_length_a 2.9057
_cell_length_b 2.9334
_cell_length_c 7.6671
_cell_angle_alpha 90.00
_cell_angle_beta 90.00
_cell_angle_gamma 90.00
_space_group_name_H-M_alt 'P 1'
_space_group_IT_number 1
_space_group_name_Hall 'P 1'
loop_
_atom_site_label
_atom_site_type_symbol
_atom_site_fract_x
_atom_site_fract_y
_atom_site_fract_z
Be1 Be 0.0000 0.7500 0.1001
Be2 Be 0.0000 0.7500 0.3999
Te1 Te 0.5000 0.7500 0.7500
Ir1 Ir 0.5000 0.2500 0.2500
# Theoretical density: 8.6 g cm⁻³
# Raw formation energy: -8.7 kJ per mole of atoms

No. 2
# Sm3Tl12Cd5 (PBE, optimized geometry)
data_Sm3Tl12Cd5
_chemical_formula_sum 'Sm12 Tl48 Cd20'
_cell_length_a 15.4055
_cell_length_b 15.4055
_cell_length_c 15.4055
_cell_angle_alpha 109.47
_cell_angle_beta 109.47
_cell_angle_gamma 109.47
_space_group_name_H-M_alt 'P 1'
_space_group_IT_number 1
_space_group_name_Hall 'P 1'
loop_
_atom_site_label
_atom_site_type_symbol
_atom_site_fract_x
_atom_site_fract_y
_atom_site_fract_z
Tl1 Tl 0.0955 0.1677 0.2239
Tl2 Tl 0.0955 0.9277 0.3716
Tl3 Tl 0.1677 0.0955 0.7239
Tl4 Tl 0.9045 0.8323 0.7761
Tl5 Tl 0.7239 0.1284 0.0562
Tl6 Tl 0.7239 0.5955 0.1677
Tl7 Tl 0.9277 0.8323 0.5562
Tl8 Tl 0.3323 0.5562 0.4277
Tl9 Tl 0.4045 0.2761 0.3323
Tl10 Tl 0.3323 0.7761 0.4045
Tl11 Tl 0.3716 0.4277 0.0955
Tl12 Tl 0.9438 0.3716 0.2761
Tl13 Tl 0.6284 0.5723 0.9045
Tl14 Tl 0.4438 0.6677 0.0723
Tl15 Tl 0.4277 0.3716 0.5955
Tl16 Tl 0.4438 0.7761 0.8716
Tl17 Tl 0.2761 0.4045 0.8323
Tl18 Tl 0.8323 0.9045 0.2761
Tl19 Tl 0.5955 0.7239 0.6677
Tl20 Tl 0.7761 0.4438 0.3716
Tl21 Tl 0.2239 0.6677 0.0955
Tl22 Tl 0.9438 0.5723 0.1677
Tl23 Tl 0.2239 0.5562 0.6284
Tl24 Tl 0.8716 0.2761 0.4438
Tl25 Tl 0.6677 0.2239 0.5955
Tl26 Tl 0.5562 0.3323 0.9277
Tl27 Tl 0.1677 0.0723 0.9438
Tl28 Tl 0.0723 0.9045 0.1284
Tl29 Tl 0.8323 0.9277 0.0562
Tl30 Tl 0.5723 0.6284 0.4045
Tl31 Tl 0.5562 0.2239 0.1284
Tl32 Tl 0.5955 0.8716 0.4277
Tl33 Tl 0.0562 0.6284 0.7239
Tl34 Tl 0.5723 0.9438 0.6677
Tl35 Tl 0.6284 0.0562 0.2239
Tl36 Tl 0.1284 0.7239 0.5562
Tl37 Tl 0.4045 0.1284 0.5723
Tl38 Tl 0.3716 0.9438 0.7761
Tl39 Tl 0.0723 0.1677 0.4438
Tl40 Tl 0.8716 0.5955 0.9277
Tl41 Tl 0.9277 0.0955 0.8716
Tl42 Tl 0.2761 0.8716 0.9438
Tl43 Tl 0.7761 0.3323 0.9045
Tl44 Tl 0.1284 0.4045 0.0723
Tl45 Tl 0.6677 0.4438 0.5723
Tl46 Tl 0.0562 0.4277 0.8323
Tl47 Tl 0.4277 0.0562 0.3323
Tl48 Tl 0.9045 0.0723 0.6284
Sm1 Sm 0.6250 0.3750 0.7500
Sm2 Sm 0.7500 0.3750 0.1250
Sm3 Sm 0.1250 0.8750 0.7500
Sm4 Sm 0.8750 0.1250 0.2500
Sm5 Sm 0.8750 0.7500 0.1250
Sm6 Sm 0.2500 0.6250 0.8750
Sm7 Sm 0.3750 0.6250 0.2500
Sm8 Sm 0.3750 0.7500 0.6250
Sm9 Sm 0.7500 0.8750 0.6250
Sm10 Sm 0.1250 0.2500 0.8750
Sm11 Sm 0.6250 0.2500 0.3750
Sm12 Sm 0.2500 0.1250 0.3750
Cd1 Cd 0.8750 0.6250 0.7500
Cd2 Cd 0.5000 0.0000 0.0000
Cd3 Cd 0.7500 0.1250 0.8750
Cd4 Cd 0.3750 0.1250 0.7500
Cd5 Cd 0.0000 0.0000 0.0000
Cd6 Cd 0.2500 0.3750 0.6250
Cd7 Cd 0.5000 0.5000 0.0000
Cd8 Cd 0.0000 0.5000 0.0000
Cd9 Cd 0.5000 0.5000 0.5000
Cd10 Cd 0.1250 0.7500 0.3750
Cd11 Cd 0.0000 0.0000 0.5000
Cd12 Cd 0.5000 0.0000 0.5000
Cd13 Cd 0.2500 0.8750 0.1250
Cd14 Cd 0.1250 0.3750 0.2500
Cd15 Cd 0.6250 0.8750 0.2500
Cd16 Cd 0.0000 0.5000 0.5000
Cd17 Cd 0.8750 0.2500 0.6250
Cd18 Cd 0.6250 0.7500 0.8750
Cd19 Cd 0.3750 0.2500 0.1250
Cd20 Cd 0.7500 0.6250 0.3750
# Theoretical density: 8.2 g cm⁻³
# Final energy: -2.1488 eV per atom